No. 1
{
  "formula": "CeSm2Zn",
  "functional": "PBE",
  "state": "relaxed",
  "polymorph_energy_mev_per_atom": 222,
  "delta_e_f_ev_per_atom": 0.1124,
  "energy_ev_per_atom": -4.049,
  "cell": [[5.3153, 0.0000, 0.0000], [2.6577, 4.6032, 0.0000], [2.6577, 1.5344, 4.3400]],
  "species": ["Ce", "Sm", "Sm", "Zn"],
  "frac_coords": [[0.0000, 0.0000, 0.0000], [0.2500, 0.2500, 0.2500], [0.7500, 0.7500, 0.7500], [0.5000, 0.5000, 0.5000]]
}

No. 2
{
  "formula": "CaSc2Al2",
  "functional": "PBE",
  "state": "relaxed",
  "polymorph_energy_mev_per_atom": 130,
  "delta_e_f_ev_per_atom": -0.1229,
  "energy_ev_per_atom": -4.553,
  "cell": [[-2.0103, -2.9187, -2.6926], [3.6850, -2.4957, -0.0460], [-1.2830, -5.9315, 3.7089]],
  "species": ["Al", "Al", "Ca", "Sc", "Sc"],
  "frac_coords": [[0.3986, 0.3986, 0.2029], [0.6014, 0.6014, 0.7971], [0.0000, 0.0000, 0.0000], [0.7500, 0.2500, 0.5000], [0.2500, 0.7500, 0.5000]]
}